A relaxed structure of La3SnSe. Source: the Alexandria database, functional GGA-PBE.

Calculated values
Formation energy (no corrections) = -0.81 eV/atom
Space group = Pm-3m

Unit cell a=5.630 b=5.630 c=5.630 alpha=90.00 beta=90.00 gamma=90.00
Fractional coordinates of all 5 atoms:
Sn 0.500 0.500 0.500
Se 0.000 0.000 0.000
La 0.000 0.500 0.000
La 0.000 0.000 0.500
La 0.500 0.000 0.000


A relaxed structure of CaEuZrNbO6. Source: the Alexandria database, functional GGA-PBE.

Calculated values
Formation energy (no corrections) = -2.87 eV/atom
Space group = F-43m

Unit cell a=5.827 b=5.827 c=5.827 alpha=60.00 beta=60.00 gamma=60.00
Fractional coordinates of all 10 atoms:
Ca 0.250 0.250 0.250
Eu 0.750 0.750 0.750
Zr 0.500 0.500 0.500
Nb 0.000 0.000 0.000
O 0.246 0.754 0.246
O 0.754 0.246 0.754
O 0.246 0.754 0.754
O 0.754 0.246 0.246
O 0.246 0.246 0.754
O 0.754 0.754 0.246


A relaxed structure of Rb2BSbBr6. Source: the Alexandria database, functional GGA-PBE.

Calculated values
Formation energy (no corrections) = -0.67 eV/atom
Space group = I4/mmm

Unit cell a=7.724 b=7.724 c=7.708 alpha=59.93 beta=59.93 gamma=90.00
Fractional coordinates of all 10 atoms:
Sb 0.000 0.000 0.000
B 0.500 0.500 0.000
Br 0.260 0.260 0.480
Br 0.740 0.740 0.520
Br 0.259 0.259 0.000
Br 0.741 0.741 0.000
Br 0.741 0.259 0.000
Br 0.259 0.741 0.000
Rb 0.750 0.250 0.500
Rb 0.250 0.750 0.500


A relaxed structure of Nd3Co2Sn4. Source: the Alexandria database, functional GGA-PBE.

Calculated values
Space group = C2/m
Formation enthalpy at 0 K = -0.54 eV/atom

Unit cell a=4.520 b=6.185 c=9.321 alpha=64.41 beta=75.97 gamma=68.57
Fractional coordinates of all 9 atoms:
Nd 0.374 0.564 0.688
Nd 0.000 0.000 0.000
Nd 0.626 0.436 0.312
Co 0.300 0.012 0.387
Co 0.700 0.988 0.613
Sn 0.294 0.324 0.089
Sn 0.706 0.676 0.911
Sn 0.097 0.199 0.606
Sn 0.903 0.801 0.394


A relaxed structure of LiNd2GeS5. Source: the Alexandria database, functional GGA-PBE.

Calculated values
Formation energy (no corrections) = -1.42 eV/atom
Space group = Cmc2_1

Unit cell a=4.068 b=8.630 c=11.210 alpha=90.00 beta=90.00 gamma=103.63
Fractional coordinates of all 18 atoms:
Li 0.785 0.570 0.520
Li 0.215 0.430 0.020
Nd 0.867 0.734 0.805
Nd 0.122 0.243 0.682
Nd 0.133 0.266 0.305
Nd 0.878 0.757 0.182
Ge 0.566 0.132 0.961
Ge 0.434 0.868 0.461
S 0.359 0.718 0.000
S 0.685 0.369 0.853
S 0.500 0.000 0.778
S 0.293 0.585 0.668
S 0.954 0.908 0.556
S 0.641 0.282 0.500
S 0.315 0.631 0.353
S 0.500 0.000 0.278
S 0.707 0.415 0.168
S 0.046 0.092 0.056


A relaxed structure of Tb3Tm5Pb2. Source: the Alexandria database, functional GGA-PBE.

Calculated values
Space group = Ibam
Formation enthalpy at 0 K = 0.05 eV/atom

Unit cell a=6.313 b=10.568 c=10.568 alpha=95.99 beta=72.62 gamma=72.62
Fractional coordinates of all 20 atoms:
Tb 0.250 0.000 0.000
Tb 0.750 0.000 0.000
Tb 0.379 0.340 0.902
Tb 0.621 0.660 0.098
Tb 0.879 0.902 0.340
Tb 0.121 0.098 0.660
Tm 0.250 0.500 0.500
Tm 0.750 0.500 0.500
Tm 0.502 0.748 0.748
Tm 0.998 0.252 0.252
Tm 0.498 0.252 0.252
Tm 0.002 0.748 0.748
Tm 0.104 0.559 0.233
Tm 0.896 0.441 0.767
Tm 0.604 0.233 0.559
Tm 0.396 0.767 0.441
Pb 0.143 0.707 0.006
Pb 0.857 0.293 0.994
Pb 0.643 0.006 0.707
Pb 0.357 0.994 0.293


| no. | DOS at the Fermi energy (states/eV/f.u.) |
| --- | --- |
| 1 | 6.03 |
| 2 | 2.35 |
| 3 | 0.00 |
| 4 | 7.69 |
| 5 | 1.02 |
| 6 | 10.58 |